Record 1
# Tl2Pd2Au

Tl2Pd2Au after structural relaxation (PBE, Alexandria).

Values from the calculation:
As for the total magnetization: 0.00 μB/f.u. Its distance to the lowest polymorph of the same formula is 104.4 meV per atom. The crystal system is tetragonal. As for the calculated total energy: -0.1348 hartree per atom. As for the energy of formation from the pure elements: 0.011 eV/atom.

The structure in extended XYZ format:
```
10
Lattice="-3.2254 2.5290 6.7694 -5.5750 -5.5874 -0.5689 1.8621 -2.0254 1.6439" Properties=species:S:1:pos:R:3 pbc="T T T"
Tl -5.7555 -3.8252 1.8067
Tl -6.3953 -1.5856 5.2907
Tl -3.0449 0.7667 4.3938
Tl -2.4051 -1.4728 0.9098
Au 0.0000 0.0000 0.0000
Au -4.4002 -1.5292 3.1003
Pd -3.0357 -4.2162 1.3683
Pd -5.9418 -4.2481 4.6210
Pd -3.9026 -0.8676 6.4761
Pd -0.9965 -0.8358 3.2234
```

---

Record 2
# SrIr

SrIr after structural relaxation (PBE, Alexandria).

Values from the calculation:
As for the total magnetization: 0.00 μB/f.u. The crystal system is tetragonal. As for the calculated total energy: -0.1970 hartree per atom. As for the energy of formation from the pure elements: -0.088 eV/atom.

The structure in extended XYZ format:
```
16
Lattice="11.1669 0.0000 0.0000 0.0000 11.1669 0.0000 0.0000 0.0000 4.4560" Properties=species:S:1:pos:R:3 pbc="T T T"
Sr 2.6726 5.5834 0.0000
Sr 8.4943 5.5834 0.0000
Sr 5.5834 8.4943 0.0000
Sr 5.5834 2.6726 0.0000
Sr 8.2560 0.0000 2.2280
Sr 2.9109 0.0000 2.2280
Sr 0.0000 2.9109 2.2280
Sr 0.0000 8.2560 2.2280
Ir 8.6693 8.6693 0.0000
Ir 8.6693 2.4976 0.0000
Ir 2.4976 8.6693 0.0000
Ir 2.4976 2.4976 0.0000
Ir 3.0859 3.0859 2.2280
Ir 3.0859 8.0810 2.2280
Ir 8.0810 3.0859 2.2280
Ir 8.0810 8.0810 2.2280
```

---

Record 3
# MoW4

MoW4 after structural relaxation (PBE, Alexandria).

Values from the calculation:
As for the total magnetization: 0.00 μB/f.u. Its distance to the lowest polymorph of the same formula is 0.0 meV per atom. The crystal system is tetragonal. As for the calculated total energy: -0.4607 hartree per atom. As for the energy of formation from the pure elements: -0.008 eV/atom.

The structure in extended XYZ format:
```
5
Lattice="-0.0224 -1.7617 2.6448 -0.4780 -5.0494 -1.4583 5.0219 0.4727 -1.5518" Properties=species:S:1:pos:R:3 pbc="T T T"
Mo 0.0000 0.0000 0.0000
W 2.9133 -1.0786 -0.6938
W 3.7172 -3.7087 -0.5296
W 1.6082 -5.2597 0.3285
W 0.8043 -2.6297 0.1644
```

---

Record 4
# SrBe2Ga2O6

SrBe2Ga2O6 after structural relaxation (PBE, Alexandria).

Values from the calculation:
As for the total magnetization: 0.00 μB/f.u. Its raw formation energy is -25.44 eV per formula unit. The crystal system is triclinic. As for the calculated total energy: -0.2351 hartree per atom.

The structure in extended XYZ format:
```
11
Lattice="-4.4119 -0.5970 2.8445 -0.3368 -3.9309 3.4178 2.0739 5.0254 3.1087" Properties=species:S:1:pos:R:3 pbc="T T T"
Sr -1.1690 2.2142 2.9766
Be 0.6349 0.8252 5.5617
Be -3.3097 -0.3276 3.8093
Ga -1.9409 2.0190 6.4732
Ga -0.7339 -1.5215 2.8978
O -0.7810 0.6853 6.1391
O -3.5929 -1.6325 4.7184
O -2.3921 3.0457 5.0291
O 0.9181 2.1301 4.6526
O -0.2828 -2.5482 4.3420
O -1.8939 -0.1878 3.2319
```

---

Record 5
# Cs2TiZnS4

Cs2TiZnS4 after structural relaxation (PBE, Alexandria).

Values from the calculation:
As for the total magnetization: 0.00 μB/f.u. Its raw formation energy is -10.24 eV per formula unit. The crystal system is orthorhombic. As for the calculated total energy: -0.1728 hartree per atom.

The structure in extended XYZ format:
```
16
Lattice="-1.6730 -1.1350 5.3912 -7.2813 -2.5774 0.2725 3.3374 -12.4872 1.4815" Properties=species:S:1:pos:R:3 pbc="T T T"
Cs 1.8646 -8.2814 1.9099
Cs -0.2003 -5.3407 4.9628
Cs -1.7540 -12.5893 4.4920
Cs -4.6994 -4.1777 5.3488
Ti -3.2267 -8.3835 4.9204
Ti 0.0000 0.0000 0.0000
Zn -2.3902 -7.8160 2.2248
Zn -0.8365 -0.5675 2.6956
S -6.0904 -3.6771 1.8715
S 1.3516 -11.9268 2.4442
S -4.4679 -14.3702 6.4260
S -2.0271 -2.4251 3.5488
S -4.4176 -7.2839 3.3214
S -1.2409 -8.9439 3.9577
S -4.3757 -10.2129 5.6397
S -1.1997 -5.9585 1.3716
```

---

Record 6
# PuAg3Br6

PuAg3Br6 after structural relaxation (PBE, Alexandria).

Values from the calculation:
As for the total magnetization: 5.00 μB/f.u. Its raw formation energy is -7.43 eV per formula unit. The crystal system is triclinic. As for the calculated total energy: -0.1483 hartree per atom.

The structure in extended XYZ format:
```
10
Lattice="7.1951 0.2672 3.8125 2.6942 6.8038 3.8335 0.6051 0.0908 8.2464" Properties=species:S:1:pos:R:3 pbc="T T T"
Pu 0.0000 0.0000 0.0000
Ag 4.9447 3.5355 3.8230
Ag 3.9001 0.1790 6.0294
Ag 5.2472 3.5809 7.9462
Br 7.4813 5.4900 7.9627
Br 3.0131 1.6719 7.9296
Br 6.4639 2.1240 10.1896
Br 4.0306 5.0379 5.7027
Br 3.9974 5.2198 9.8554
Br 6.4971 1.9421 6.0369
```

---

Record 7
# SbIrPt2

SbIrPt2 after structural relaxation (PBE, Alexandria).

Values from the calculation:
As for the total magnetization: 0.00 μB/f.u. Its raw formation energy is 0.30 eV per formula unit. The crystal system is monoclinic. As for the calculated total energy: -0.2275 hartree per atom.

The structure in extended XYZ format:
```
4
Lattice="4.8399 -0.2237 -0.0321 3.6725 3.1603 -0.0321 0.8314 0.2868 4.2774" Properties=species:S:1:pos:R:3 pbc="T T T"
Ir 2.3359 0.8058 1.0533
Pt 8.4316 2.9087 -0.0021
Pt 4.7526 1.6395 2.0444
Sb 7.0078 2.4175 3.1599
```

---

Record 8
# RhSCl2

RhSCl2 after structural relaxation (PBE, Alexandria).

Values from the calculation:
As for the total magnetization: 0.00 μB/f.u. Its distance to the lowest polymorph of the same formula is 861.7 meV per atom. Its raw formation energy is 3.60 eV per formula unit. The crystal system is cubic. As for the calculated total energy: -0.1063 hartree per atom.

The structure in extended XYZ format:
```
4
Lattice="-3.0596 -3.3172 0.7612 -4.1919 0.2934 -1.8128 -1.2243 -2.8079 -3.4002" Properties=species:S:1:pos:R:3 pbc="T T T"
S 0.0000 0.0000 0.0000
Rh -4.2379 -2.9159 -2.2259
Cl -2.1189 -1.4579 -1.1130
Cl -6.3568 -4.3738 -3.3389
```